Entry 1:
## NdCd6Ag12 (PBE)

Data for a relaxed structure of NdCd6Ag12.

Calculated values
Total moment   0.0 μB/f.u.
Calculated formation energy   1.0 eV/f.u.
DOS at the Fermi energy   6.65 states/eV/f.u.

Geometry as extended XYZ:
```
19
Lattice="-2.555 3.267 6.527 1.154 -7.401 1.923 7.134 2.856 -0.870" Properties=species:S:1:pos:R:3 pbc="T T T"
Cd 1.171 -2.052 5.698
Ag 3.976 -2.638 5.355
Ag 6.638 -0.799 0.910
Ag 5.194 3.354 2.703
Cd 4.562 0.774 1.882
Ag 1.757 1.359 2.225
Ag 0.539 -4.632 4.877
Nd 0.000 0.000 0.000
Ag 1.423 3.514 5.582
Ag 5.442 -0.123 4.670
Ag -0.905 -0.479 6.670
Ag 3.067 -0.023 6.483
Cd 3.580 2.079 4.573
Cd 2.153 -3.357 3.007
Ag 2.666 -1.256 1.097
Ag 4.310 -4.792 1.998
Ag 0.291 -1.155 2.910
Cd 0.659 0.939 4.861
Cd 5.073 -2.217 2.719
```



Entry 2:
## Nd4CdAg3 (PBE)

Data for a relaxed structure of Nd4CdAg3.

Calculated values
Total moment   0.0 μB/f.u.
Calculated formation energy   -2.1 eV/f.u.
Energy above the lowest structure with this stoichiometry   0 meV per atom
DOS at the Fermi energy   8.44 states/eV/f.u.

Geometry as extended XYZ:
```
8
Lattice="-0.022 2.748 -2.590 -3.966 2.450 2.633 7.183 5.463 5.736" Properties=species:S:1:pos:R:3 pbc="T T T"
Cd -1.994 2.599 0.021
Ag 1.763 2.723 0.121
Ag 5.399 5.488 3.024
Nd 0.000 0.000 0.000
Nd 3.363 5.291 5.585
Nd -0.145 2.623 2.784
Ag 1.598 5.331 2.889
Nd 3.592 2.732 2.868
```



Entry 3:
## Nd2Cd8Ag (PBE)

Data for a relaxed structure of Nd2Cd8Ag.

Calculated values
Total moment   0.0 μB/f.u.
Calculated formation energy   -2.1 eV/f.u.
DOS at the Fermi energy   5.36 states/eV/f.u.

Geometry as extended XYZ:
```
11
Lattice="-4.006 -0.502 2.428 -0.099 -6.429 -1.492 6.629 2.696 6.925" Properties=species:S:1:pos:R:3 pbc="T T T"
Ag -2.003 -0.251 1.214
Cd -1.144 -4.820 1.687
Cd 3.669 0.585 6.174
Cd 0.165 -1.907 -0.121
Nd 1.956 -3.706 2.461
Nd 0.569 -0.529 5.400
Cd 1.186 -4.133 5.672
Cd 2.360 -2.328 7.982
Cd 1.339 -0.102 2.189
Cd 3.305 -2.082 5.022
Cd -0.780 -2.153 2.839
```